Compound: Sr3Dy3ErTe8
Source: the Alexandria database
Functional: PBE
Structure: relaxed

Cell: 8.8703 8.8703 22.8837 Å, 90.00 90.00 120.00°
Space group R-3m (No. 166, hexagonal axes)
One atom of each set of equivalent atoms:
Sr  0.0000  0.5000  0.0000
Dy  0.0000  0.5000  0.5000
Er  0.0000  0.0000  0.5000
Te  0.0000  0.0000  0.2436
Te  0.0022  0.5011  0.7568

Values from the calculation:
- E_form (uncorrected) (kJ per mole of atoms) = -145.6
- crystal system = trigonal
- total magnetization (μB/f.u.) = 0.000



Compound: Sr3DyEr3Te8
Source: the Alexandria database
Functional: PBE
Structure: relaxed

Cell: 8.8404 8.8404 22.8071 Å, 90.00 90.00 120.00°
Space group R-3m (No. 166, hexagonal axes)
One atom of each set of equivalent atoms:
Sr  0.0000  0.5000  0.0000
Dy  0.0000  0.0000  0.5000
Er  0.0000  0.5000  0.5000
Te  0.0000  0.0000  0.2428
Te  0.0062  0.5031  0.7568

Values from the calculation:
- E_form (uncorrected) (kJ per mole of atoms) = -144.2
- crystal system = trigonal
- total magnetization (μB/f.u.) = 0.000



Compound: DyEr2Ta
Source: the Alexandria database
Functional: PBE
Structure: relaxed

Cell: 3.2508 3.2508 34.8294 Å, 90.00 90.00 120.00°
Space group R-3m (No. 166, hexagonal axes)
One atom of each set of equivalent atoms:
Dy  0.0000  0.0000  0.0000
Er  0.0000  0.0000  0.4160
Ta  0.0000  0.0000  0.5000

Values from the calculation:
- crystal system = trigonal
- total magnetization (μB/f.u.) = 0.006
- energy relative to the elements (meV/atom) = 582.8



Compound: TbDy12Er5
Source: the Alexandria database
Functional: PBE
Structure: relaxed

Cell: 4.987 14.955 14.950 Å, 90.00 90.00 90.00°
Space group Cmmm (No. 65)
One atom of each set of equivalent atoms:
Tb  0.000  0.000  0.000
Dy  0.000  0.000  0.334
Dy  0.000  0.167  0.167
Dy  0.000  0.333  0.334
Dy  0.000  0.500  0.167
Er  0.000  0.167  0.500
Er  0.000  0.333  0.000
Er  0.000  0.500  0.500

Values from the calculation:
- crystal system = orthorhombic
- total magnetization (μB/f.u.) = 0.000
- energy relative to the elements (meV/atom) = 18.7



Compound: TbDy9Er2
Source: the Alexandria database
Functional: PBE
Structure: relaxed

Cell: 11.1570 11.1570 3.4772 Å, 90.00 90.00 120.00°
Space group P6/mmm (No. 191)
One atom of each set of equivalent atoms:
Tb  0.0000  0.0000  0.0000
Dy  0.0000  0.5000  0.0000
Dy  0.1766  0.3532  0.5000
Er  0.3333  0.6667  0.0000

Values from the calculation:
- relative energy among the computed polymorphs (eV/atom) = 0.027
- crystal system = hexagonal
- total magnetization (μB/f.u.) = 0.001
- energy relative to the elements (meV/atom) = 47.6



Compound: Tb4DyEr8
Source: the Alexandria database
Functional: PBE
Structure: relaxed

Cell: 7.2372 7.2372 26.8979 Å, 90.00 90.00 120.00°
Space group R-3m (No. 166, hexagonal axes)
One atom of each set of equivalent atoms:
Tb  0.0000  0.0000  0.0000
Tb  0.0000  0.5000  0.0000
Dy  0.0000  0.0000  0.5000
Er  0.0000  0.0000  0.2164
Er  0.0374  0.5187  0.7684

Values from the calculation:
- crystal system = trigonal
- total magnetization (μB/f.u.) = 0.000
- energy relative to the elements (meV/atom) = 222.4



Compound: Tb2Dy3Er3
Source: the Alexandria database
Functional: PBE
Structure: relaxed

Cell: 23.650 3.540 6.131 Å, 90.00 104.99 90.00°
Space group C2/m (No. 12)
One atom of each set of equivalent atoms:
Tb  0.250  0.000  0.250
Dy  0.000  0.000  0.000
Dy  0.125  0.000  0.458
Er  0.000  0.500  0.500
Er  0.125  0.500  0.958

Values from the calculation:
- relative energy among the computed polymorphs (eV/atom) = 0.000
- crystal system = monoclinic
- total magnetization (μB/f.u.) = 0.000
- energy relative to the elements (meV/atom) = 2.8



Compound: TbDyEr2
Source: the Alexandria database
Functional: PBE
Structure: relaxed

Cell: 3.520 3.520 9.961 Å, 90.00 90.00 90.00°
Space group P4/mmm (No. 123)
One atom of each set of equivalent atoms:
Tb  0.000  0.000  0.000
Dy  0.000  0.000  0.500
Er  0.500  0.500  0.251

Values from the calculation:
- relative energy among the computed polymorphs (eV/atom) = 0.015
- crystal system = tetragonal
- total magnetization (μB/f.u.) = 0.000
- energy relative to the elements (meV/atom) = 20.7



Compound: Tb3Dy2Er6
Source: the Alexandria database
Functional: PBE
Structure: relaxed

Cell: 4.679 4.679 32.923 Å, 90.00 90.00 90.00°
Space group I4/mmm (No. 139)
One atom of each set of equivalent atoms:
Tb  0.000  0.000  0.000
Tb  0.000  0.000  0.201
Dy  0.000  0.000  0.454
Er  0.000  0.000  0.305
Er  0.000  0.500  0.121

Values from the calculation:
- crystal system = tetragonal
- total magnetization (μB/f.u.) = 0.000
- energy relative to the elements (meV/atom) = 284.5



Compound: Tb6DyEr
Source: the Alexandria database
Functional: PBE
Structure: relaxed

Cell: 5.014 5.014 10.027 Å, 90.00 90.00 90.00°
Space group P4/mmm (No. 123)
One atom of each set of equivalent atoms:
Tb  0.000  0.000  0.000
Tb  0.000  0.000  0.500
Tb  0.000  0.500  0.250
Dy  0.500  0.500  0.000
Er  0.500  0.500  0.500

Values from the calculation:
- relative energy among the computed polymorphs (eV/atom) = 0.000
- crystal system = tetragonal
- total magnetization (μB/f.u.) = 0.000
- energy relative to the elements (meV/atom) = 19.4



Compound: Tb8DyEr4
Source: the Alexandria database
Functional: PBE
Structure: relaxed

Cell: 7.2189 7.2189 27.4357 Å, 90.00 90.00 120.00°
Space group R-3m (No. 166, hexagonal axes)
One atom of each set of equivalent atoms:
Tb  0.0000  0.0000  0.2153
Tb  0.0341  0.5170  0.7662
Dy  0.0000  0.0000  0.5000
Er  0.0000  0.0000  0.0000
Er  0.0000  0.5000  0.0000

Values from the calculation:
- crystal system = trigonal
- total magnetization (μB/f.u.) = 0.000
- energy relative to the elements (meV/atom) = 212.6



Compound: Tb2Dy3Er3
Source: the Alexandria database
Functional: PBE
Structure: relaxed

Cell: 4.985 4.986 19.945 Å, 90.00 90.00 90.00°
Space group Immm (No. 71)
One atom of each set of equivalent atoms:
Tb  0.000  0.000  0.250
Dy  0.000  0.000  0.000
Dy  0.000  0.500  0.124
Er  0.000  0.000  0.500
Er  0.000  0.500  0.375

Values from the calculation:
- relative energy among the computed polymorphs (eV/atom) = 0.017
- crystal system = orthorhombic
- total magnetization (μB/f.u.) = 0.000
- energy relative to the elements (meV/atom) = 20.1



> Look up the total magnetization of the second one.

0.000 μB/f.u.